The following is a GGA-PBE calculation of an optimized crystal structure of RbIn12Hg6, from the Alexandria database.

Computed properties:
Symmetry   R-3m (166)
E_form   0.164 eV per formula unit
Theoretical density   7.9 g/cm³
D(E_F)   9.88 states/eV/f.u.
E_tot   -0.1372 Ry per atom
Total magnetic moment   0.0 μB per formula unit

Cell: 8.7369 8.7369 8.7369 Å, 106.64 106.64 106.64°
With the nearest neighbours (Å) after each atom.
Fractional positions:
1 Rb 0.0000 0.0000 0.0000  6 In 3.90, 6 Hg 4.24
2 In 0.1087 0.5000 0.8913  4 Hg 2.91-3.09, 1 In 3.05
3 In 0.1087 0.8913 0.5000  4 Hg 2.91-3.09, 1 In 3.05
4 In 0.1900 0.4233 0.4233  2 Hg 3.00-3.26, 2 In 3.27
5 In 0.4233 0.1900 0.4233  2 Hg 3.00-3.26, 2 In 3.27
6 In 0.4233 0.4233 0.1900  2 Hg 3.00-3.26, 2 In 3.27
7 In 0.5000 0.1087 0.8913  4 Hg 2.91-3.09, 1 In 3.05
8 In 0.5000 0.8913 0.1087  4 Hg 2.91-3.09, 1 In 3.05
9 In 0.5767 0.5767 0.8100  2 Hg 3.00-3.26, 2 In 3.27
10 In 0.5767 0.8100 0.5767  2 Hg 3.00-3.26, 2 In 3.27
11 In 0.8100 0.5767 0.5767  2 Hg 3.00-3.26, 2 In 3.27
12 In 0.8913 0.1087 0.5000  4 Hg 2.91-3.09, 1 In 3.05
13 In 0.8913 0.5000 0.1087  4 Hg 2.91-3.09, 1 In 3.05
14 Hg 0.2340 0.7261 0.7261  6 In 2.91-3.26
15 Hg 0.2739 0.2739 0.7660  6 In 2.91-3.26
16 Hg 0.2739 0.7660 0.2739  6 In 2.91-3.26
17 Hg 0.7261 0.2340 0.7261  6 In 2.91-3.26
18 Hg 0.7261 0.7261 0.2340  6 In 2.91-3.26
19 Hg 0.7660 0.2739 0.2739  6 In 2.91-3.26